{
  "formula": "PmSiHg",
  "functional": "GGA-PBE",
  "state": "optimized geometry",
  "lattice_angstrom": [[3.924, 0.000, -0.213], [0.000, 4.412, 0.000], [-2.051, -2.206, 8.233]],
  "species": ["Si", "Hg", "Pm", "Si", "Hg", "Pm"],
  "frac_coords": [[0.806, 0.544, 0.087], [0.862, 0.288, 0.575], [0.626, 0.902, 0.804], [0.194, 0.456, 0.913], [0.138, 0.712, 0.425], [0.374, 0.098, 0.196]],
  "relative_energy_mev_per_atom": 0,
  "dos_ef_per_ev_cell": 2.68,
  "spacegroup": "No. 12",
  "e_form_raw_mev_per_atom": -562
}

=====

{
  "formula": "Pm12Si6Hg",
  "functional": "GGA-PBE",
  "state": "optimized geometry",
  "lattice_angstrom": [[8.834, 0.000, 0.000], [-2.945, 8.328, 0.000], [-2.945, -4.164, 7.213]],
  "species": ["Pm", "Pm", "Pm", "Si", "Si", "Pm", "Pm", "Pm", "Pm", "Pm", "Hg", "Pm", "Pm", "Si", "Si", "Pm", "Si", "Si", "Pm"],
  "frac_coords": [[0.188, 0.296, 0.483], [0.296, 0.108, 0.812], [0.188, 0.704, 0.892], [0.885, 0.385, 0.500], [0.385, 0.500, 0.885], [0.296, 0.483, 0.188], [0.704, 0.892, 0.188], [0.812, 0.704, 0.517], [0.483, 0.188, 0.296], [0.704, 0.517, 0.812], [0.000, 0.000, 0.000], [0.517, 0.812, 0.704], [0.812, 0.296, 0.108], [0.500, 0.115, 0.615], [0.500, 0.885, 0.385], [0.892, 0.188, 0.704], [0.615, 0.500, 0.115], [0.115, 0.615, 0.500], [0.108, 0.812, 0.296]],
  "dos_ef_per_ev_cell": 12.20,
  "spacegroup": "No. 204",
  "e_form_raw_mev_per_atom": -515
}

=====

{
  "formula": "Pm12Si7Hg",
  "functional": "GGA-PBE",
  "state": "optimized geometry",
  "lattice_angstrom": [[9.001, -0.277, -0.415], [-2.769, 8.570, -0.415], [-2.769, -3.684, 7.748]],
  "species": ["Si", "Pm", "Si", "Pm", "Pm", "Pm", "Pm", "Si", "Pm", "Si", "Pm", "Pm", "Pm", "Pm", "Pm", "Pm", "Si", "Hg", "Si", "Si"],
  "frac_coords": [[0.500, 0.500, 0.500], [0.603, 0.907, 0.687], [0.070, 0.728, 0.975], [0.339, 0.722, 0.863], [0.722, 0.863, 0.339], [0.863, 0.339, 0.722], [0.907, 0.687, 0.603], [0.975, 0.070, 0.728], [0.093, 0.313, 0.397], [0.728, 0.975, 0.070], [0.687, 0.603, 0.907], [0.137, 0.661, 0.278], [0.313, 0.397, 0.093], [0.397, 0.093, 0.313], [0.278, 0.137, 0.661], [0.661, 0.278, 0.137], [0.930, 0.272, 0.025], [0.000, 0.000, 0.000], [0.272, 0.025, 0.930], [0.025, 0.930, 0.272]],
  "dos_ef_per_ev_cell": 16.36,
  "spacegroup": "No. 148",
  "e_form_raw_mev_per_atom": -349
}

=====

{
  "formula": "Pm2SiHg3",
  "functional": "GGA-PBE",
  "state": "optimized geometry",
  "lattice_angstrom": [[-0.190, -2.570, 2.567], [-0.124, -3.422, -3.435], [8.257, -0.455, 0.155]],
  "species": ["Si", "Pm", "Pm", "Hg", "Hg", "Hg"],
  "frac_coords": [[0.500, 0.500, 0.332], [0.000, 0.000, 0.489], [0.000, 0.500, 0.018], [0.500, 0.500, 0.657], [0.500, 0.000, 0.831], [0.500, 0.000, 0.173]],
  "dos_ef_per_ev_cell": 3.37,
  "spacegroup": "No. 25",
  "e_form_raw_mev_per_atom": -397
}

=====

{
  "formula": "PmSiHg",
  "functional": "GGA-PBE",
  "state": "optimized geometry",
  "lattice_angstrom": [[-3.034, 2.513, -0.218], [-1.257, -1.831, -3.590], [-5.386, -6.277, 2.605]],
  "species": ["Pm", "Si", "Hg", "Hg", "Si", "Pm"],
  "frac_coords": [[0.250, 0.903, 0.194], [0.250, 0.540, 0.919], [0.750, 0.290, 0.420], [0.250, 0.710, 0.580], [0.750, 0.460, 0.081], [0.750, 0.097, 0.806]],
  "relative_energy_mev_per_atom": 3,
  "dos_ef_per_ev_cell": 2.85,
  "spacegroup": "No. 63",
  "e_form_raw_mev_per_atom": -559
}

=====

{
  "formula": "Pm2SiHg",
  "functional": "GGA-PBE",
  "state": "optimized geometry",
  "lattice_angstrom": [[3.781, 0.000, 0.000], [0.000, 3.781, 0.000], [0.000, 0.000, 7.178]],
  "species": ["Si", "Pm", "Hg", "Pm"],
  "frac_coords": [[0.500, 0.500, 0.000], [0.000, 0.000, 0.775], [0.500, 0.500, 0.500], [0.000, 0.000, 0.225]],
  "relative_energy_mev_per_atom": 0,
  "dos_ef_per_ev_cell": 4.02,
  "spacegroup": "No. 123",
  "e_form_raw_mev_per_atom": -480
}

=====

{
  "formula": "PmSmSiHg",
  "functional": "GGA-PBE",
  "state": "optimized geometry",
  "lattice_angstrom": [[-1.364, 4.538, 2.213], [-0.753, 0.267, 5.168], [3.416, 2.572, 3.011]],
  "species": ["Pm", "Si", "Sm", "Hg"],
  "frac_coords": [[0.000, 0.000, 0.000], [0.250, 0.250, 0.250], [0.500, 0.500, 0.500], [0.750, 0.750, 0.750]],
  "dos_ef_per_ev_cell": 3.37,
  "spacegroup": "No. 216",
  "e_form_raw_mev_per_atom": -470
}

=====

{
  "formula": "TbPmSiHg",
  "functional": "GGA-PBE",
  "state": "optimized geometry",
  "lattice_angstrom": [[-5.136, -0.659, 0.344], [-2.611, -2.140, -3.941], [-1.976, -4.774, 0.485]],
  "species": ["Tb", "Pm", "Si", "Hg"],
  "frac_coords": [[0.000, 0.000, 0.000], [0.500, 0.500, 0.500], [0.250, 0.250, 0.250], [0.750, 0.750, 0.750]],
  "dos_ef_per_ev_cell": 3.43,
  "spacegroup": "No. 216",
  "e_form_raw_mev_per_atom": -467
}

=====

{
  "formula": "Pm4SiHgTe2",
  "functional": "GGA-PBE",
  "state": "optimized geometry",
  "lattice_angstrom": [[4.330, 0.000, 0.000], [0.000, 7.571, 0.184], [0.000, -2.594, 7.315]],
  "species": ["Pm", "Pm", "Te", "Te", "Pm", "Hg", "Si", "Pm"],
  "frac_coords": [[0.000, 0.239, 0.757], [0.000, 0.761, 0.243], [0.000, 0.500, 0.500], [0.500, 0.000, 0.500], [0.500, 0.770, 0.771], [0.500, 0.500, 0.000], [0.000, 0.000, 0.000], [0.500, 0.230, 0.229]],
  "dos_ef_per_ev_cell": 5.09,
  "spacegroup": "No. 10",
  "e_form_raw_mev_per_atom": -997
}

=====

{
  "formula": "PmTmSiHg",
  "functional": "GGA-PBE",
  "state": "optimized geometry",
  "lattice_angstrom": [[-1.876, -1.084, -4.669], [2.291, -3.557, -2.932], [-2.321, -4.514, -0.857]],
  "species": ["Hg", "Pm", "Si", "Tm"],
  "frac_coords": [[0.500, 0.500, 0.500], [0.250, 0.250, 0.250], [0.000, 0.000, 0.000], [0.750, 0.750, 0.750]],
  "dos_ef_per_ev_cell": 3.21,
  "spacegroup": "No. 216",
  "e_form_raw_mev_per_atom": -446
}

=====

{
  "formula": "PmYSiHg",
  "functional": "GGA-PBE",
  "state": "optimized geometry",
  "lattice_angstrom": [[-2.879, -4.085, -1.378], [-0.896, -3.806, 3.404], [-4.741, -0.623, 2.003]],
  "species": ["Y", "Si", "Pm", "Hg"],
  "frac_coords": [[0.500, 0.500, 0.500], [0.750, 0.750, 0.750], [0.000, 0.000, 0.000], [0.250, 0.250, 0.250]],
  "dos_ef_per_ev_cell": 3.30,
  "spacegroup": "No. 216",
  "e_form_raw_mev_per_atom": -477
}

=====

{
  "formula": "Pm4Sm9Hg11",
  "functional": "GGA-PBE",
  "state": "optimized geometry",
  "lattice_angstrom": [[3.634, 0.000, 0.000], [0.000, 12.985, -5.179], [0.000, 0.340, 13.975]],
  "species": ["Hg", "Sm", "Hg", "Pm", "Hg", "Hg", "Pm", "Sm", "Sm", "Pm", "Pm", "Hg", "Hg", "Hg", "Hg", "Sm", "Hg", "Sm", "Hg", "Hg", "Sm", "Sm", "Sm", "Sm"],
  "frac_coords": [[0.000, 0.411, 0.053], [0.500, 0.500, 0.500], [0.000, 0.822, 0.178], [0.500, 0.746, 0.573], [0.000, 0.178, 0.822], [0.000, 0.947, 0.589], [0.500, 0.254, 0.427], [0.500, 0.149, 0.619], [0.500, 0.976, 0.795], [0.500, 0.427, 0.254], [0.500, 0.573, 0.746], [0.000, 0.589, 0.947], [0.000, 0.225, 0.225], [0.000, 0.633, 0.367], [0.000, 0.053, 0.411], [0.500, 0.205, 0.024], [0.000, 0.000, 0.000], [0.500, 0.851, 0.381], [0.000, 0.367, 0.633], [0.000, 0.775, 0.775], [0.500, 0.619, 0.149], [0.500, 0.024, 0.205], [0.500, 0.381, 0.851], [0.500, 0.795, 0.976]],
  "dos_ef_per_ev_cell": 27.37,
  "ef_kj_per_mol_fu": -881.4,
  "spacegroup": "No. 65"
}

=====

{
  "formula": "PmSmHg2",
  "functional": "GGA-PBE",
  "state": "optimized geometry",
  "lattice_angstrom": [[-0.944, 2.703, -2.556], [-5.059, -1.749, 0.018], [-1.152, 3.375, 3.993]],
  "species": ["Pm", "Sm", "Hg", "Hg"],
  "frac_coords": [[0.500, 0.000, 0.000], [0.500, 0.500, 0.500], [0.000, 0.500, 0.000], [0.000, 0.000, 0.500]],
  "relative_energy_mev_per_atom": 0,
  "dos_ef_per_ev_cell": 4.63,
  "ef_kj_per_mol_fu": -183.2,
  "spacegroup": "No. 123"
}

=====

{
  "formula": "Pm4SmHg2",
  "functional": "GGA-PBE",
  "state": "optimized geometry",
  "lattice_angstrom": [[5.189, 0.000, 0.000], [2.594, 4.494, 0.000], [2.594, 1.498, 10.317]],
  "species": ["Pm", "Hg", "Sm", "Pm", "Pm", "Pm", "Hg"],
  "frac_coords": [[0.891, 0.891, 0.328], [0.399, 0.399, 0.802], [0.500, 0.500, 0.500], [0.704, 0.704, 0.889], [0.109, 0.109, 0.672], [0.296, 0.296, 0.111], [0.601, 0.601, 0.198]],
  "dos_ef_per_ev_cell": 12.62,
  "ef_kj_per_mol_fu": 24.6,
  "spacegroup": "No. 166"
}

=====

{
  "formula": "Pm8SmHg6",
  "functional": "GGA-PBE",
  "state": "optimized geometry",
  "lattice_angstrom": [[-4.075, 8.144, -0.787], [-6.351, 2.537, 6.064], [1.120, 6.218, 5.460]],
  "species": ["Pm", "Hg", "Pm", "Pm", "Hg", "Hg", "Hg", "Sm", "Pm", "Hg", "Pm", "Pm", "Pm", "Pm", "Hg"],
  "frac_coords": [[0.114, 0.450, 0.655], [0.054, 0.723, 0.837], [0.666, 0.666, 0.001], [0.450, 0.781, 0.655], [0.277, 0.614, 0.163], [0.614, 0.946, 0.163], [0.946, 0.277, 0.163], [0.000, 0.000, 0.000], [0.334, 0.334, 0.999], [0.386, 0.054, 0.837], [0.219, 0.886, 0.345], [0.781, 0.114, 0.655], [0.550, 0.219, 0.345], [0.886, 0.550, 0.345], [0.723, 0.386, 0.837]],
  "dos_ef_per_ev_cell": 19.13,
  "ef_kj_per_mol_fu": -361.7,
  "spacegroup": "No. 148"
}

=====

{
  "formula": "Pm5SmHg6",
  "functional": "GGA-PBE",
  "state": "optimized geometry",
  "lattice_angstrom": [[-3.743, 2.837, -2.608], [-4.530, -6.178, -0.219], [-5.147, 3.570, 5.736]],
  "species": ["Pm", "Pm", "Hg", "Pm", "Pm", "Hg", "Hg", "Sm", "Hg", "Hg", "Hg", "Pm"],
  "frac_coords": [[0.333, 0.500, 0.334], [0.000, 0.500, 0.000], [0.500, 0.249, 0.000], [0.667, 0.000, 0.667], [0.667, 0.500, 0.666], [0.500, 0.751, 0.000], [0.166, 0.751, 0.668], [0.000, 0.000, 0.000], [0.834, 0.751, 0.332], [0.834, 0.249, 0.332], [0.166, 0.249, 0.668], [0.333, 0.000, 0.333]],
  "dos_ef_per_ev_cell": 14.40,
  "ef_kj_per_mol_fu": -549.7,
  "spacegroup": "No. 65"
}

=====

{
  "formula": "Pm3SmHg5",
  "functional": "GGA-PBE",
  "state": "optimized geometry",
  "lattice_angstrom": [[-3.024, 4.441, -3.914], [5.617, -2.356, -7.012], [-8.066, -4.449, 1.184]],
  "species": ["Hg", "Hg", "Pm", "Hg", "Hg", "Pm", "Sm", "Hg", "Sm", "Pm", "Hg", "Hg", "Hg", "Hg", "Pm", "Pm", "Pm", "Hg"],
  "frac_coords": [[0.500, 0.333, 0.667], [0.250, 0.701, 0.000], [0.250, 0.000, 0.371], [0.750, 0.299, 0.000], [0.000, 0.667, 0.333], [0.250, 0.371, 0.000], [0.500, 0.000, 0.000], [0.000, 0.333, 0.667], [0.000, 0.000, 0.000], [0.750, 0.371, 0.371], [0.250, 0.000, 0.701], [0.250, 0.299, 0.299], [0.750, 0.701, 0.701], [0.750, 0.000, 0.299], [0.750, 0.629, 0.000], [0.250, 0.629, 0.629], [0.750, 0.000, 0.629], [0.500, 0.667, 0.333]],
  "dos_ef_per_ev_cell": 19.14,
  "ef_kj_per_mol_fu": -362.1,
  "spacegroup": "No. 193"
}

=====

{
  "formula": "Pm2SmHg2",
  "functional": "GGA-PBE",
  "state": "optimized geometry",
  "lattice_angstrom": [[5.261, 0.000, 0.000], [-2.631, 4.556, 0.000], [0.000, 0.000, 6.483]],
  "species": ["Pm", "Sm", "Hg", "Hg", "Pm"],
  "frac_coords": [[0.333, 0.667, 0.655], [0.000, 0.000, 0.000], [0.667, 0.333, 0.838], [0.333, 0.667, 0.162], [0.667, 0.333, 0.345]],
  "relative_energy_mev_per_atom": 128,
  "dos_ef_per_ev_cell": 6.40,
  "ef_kj_per_mol_fu": -120.4,
  "spacegroup": "No. 164"
}

=====

{
  "formula": "PmSm8Hg2",
  "functional": "GGA-PBE",
  "state": "optimized geometry",
  "lattice_angstrom": [[5.691, -0.237, -0.356], [-1.291, 8.682, -0.676], [-1.291, -3.967, 7.752]],
  "species": ["Sm", "Sm", "Hg", "Hg", "Sm", "Sm", "Sm", "Sm", "Sm", "Pm", "Sm"],
  "frac_coords": [[0.298, 0.598, 0.598], [0.893, 0.681, 0.908], [0.000, 0.694, 0.306], [0.000, 0.306, 0.694], [0.702, 0.402, 0.402], [0.893, 0.908, 0.681], [0.107, 0.092, 0.319], [0.500, 0.225, 0.775], [0.500, 0.775, 0.225], [0.500, 0.000, 0.000], [0.107, 0.319, 0.092]],
  "dos_ef_per_ev_cell": 12.99,
  "ef_kj_per_mol_fu": -61.0,
  "spacegroup": "No. 12"
}

=====

{
  "formula": "Pm3Sm4Hg4",
  "functional": "GGA-PBE",
  "state": "optimized geometry",
  "lattice_angstrom": [[4.855, 0.000, 0.000], [0.000, 8.370, 0.000], [-2.428, -4.185, 8.300]],
  "species": ["Hg", "Sm", "Sm", "Hg", "Pm", "Pm", "Hg", "Sm", "Pm", "Sm", "Hg"],
  "frac_coords": [[0.223, 0.723, 0.445], [0.330, 0.534, 0.660], [0.330, 0.126, 0.660], [0.500, 0.182, 0.000], [0.111, 0.111, 0.222], [0.000, 0.500, 0.000], [0.500, 0.818, 0.000], [0.670, 0.874, 0.340], [0.889, 0.889, 0.778], [0.670, 0.466, 0.340], [0.777, 0.277, 0.555]],
  "dos_ef_per_ev_cell": 9.45,
  "ef_kj_per_mol_fu": -255.9,
  "spacegroup": "No. 71"
}

=====

Number 1: theoretical density 8.83 g/cm3. Number 2: theoretical density 6.60 g/cm3. Number 3: theoretical density 6.30 g/cm3. Number 4: theoretical density 10.47 g/cm3. Number 5: theoretical density 8.86 g/cm3. Number 6: theoretical density 8.39 g/cm3. Number 7: theoretical density 8.60 g/cm3. Number 8: theoretical density 8.95 g/cm3. Number 9: theoretical density 7.30 g/cm3. Number 10: theoretical density 9.34 g/cm3. Number 11: theoretical density 7.80 g/cm3. Number 12: theoretical density 10.33 g/cm3. Number 13: theoretical density 10.52 g/cm3. Number 14: theoretical density 7.81 g/cm3. Number 15: theoretical density 8.92 g/cm3. Number 16: theoretical density 10.41 g/cm3. Number 17: theoretical density 10.62 g/cm3. Number 18: theoretical density 8.99 g/cm3. Number 19: theoretical density 8.08 g/cm3. Number 20: theoretical density 9.05 g/cm3.